Here is a crystal of Cs2KHI relaxed with PBEsol from Alexandria via LeMat-Bulk. Energies are from SCAN.

Lattice parameters (Å, degrees): 6.5603 7.3749 7.3749 90.00 90.00 90.00
Last column: nearest neighbours and their distance in Å.
Fractional positions:
Cs (0.0000, 0.0000, 0.5000)  2 I 3.69
Cs (0.0000, 0.5000, 0.0000)  2 I 3.69
I (0.0000, 0.0000, 0.0000)  2 K 3.28
K (0.5000, 0.0000, 0.0000)  2 I 3.28
H (0.5000, 0.5000, 0.5000)  8 Cs 4.94, 4 K 5.21

Results
* E: -25.141 eV per atom

***

Here is a crystal of CuNiS3 relaxed with PBEsol from Alexandria via LeMat-Bulk. Energies are from SCAN.

Lattice parameters (Å, degrees): 4.3661 4.3661 4.3661 90.00 90.00 90.00
Last column: nearest neighbours and their distance in Å.
Fractional positions:
Ni (0.0000, 0.0000, 0.0000)  6 S 2.18
S (0.0000, 0.5000, 0.0000)  2 Ni 2.18
S (0.0000, 0.0000, 0.5000)  2 Ni 2.18
S (0.5000, 0.0000, 0.0000)  2 Ni 2.18
Cu (0.5000, 0.5000, 0.5000)  12 S 3.09

Results
* uncorrected formation energy: 652 meV per atom
* E: -11.400 eV per atom

***

Here is a crystal of CaOsRuSe2 relaxed with PBEsol from Alexandria via LeMat-Bulk. Energies are from SCAN.

Lattice parameters (Å, degrees): 4.6664 4.6664 5.1953 90.00 90.00 90.00
Last column: nearest neighbours and their distance in Å.
Fractional positions:
Ru (0.0000, 0.0000, 0.0000)  4 Se 2.33, 2 Ca 2.60
Ca (0.0000, 0.0000, 0.5000)  2 Ru 2.60
Os (0.5000, 0.5000, 0.5000)  4 Ca 3.30, 8 Se 3.49
Se (0.0000, 0.5000, 0.0000)  2 Ru 2.33
Se (0.5000, 0.0000, 0.0000)  2 Ru 2.33

Results
* uncorrected formation energy: 977 meV per atom
* E: -30.328 eV per atom

***

Repeat the third record exactly.
Here is a crystal of CaOsRuSe2 relaxed with PBEsol from Alexandria via LeMat-Bulk. Energies are from SCAN.

Lattice parameters (Å, degrees): 4.6664 4.6664 5.1953 90.00 90.00 90.00
Last column: nearest neighbours and their distance in Å.
Fractional positions:
Ru (0.0000, 0.0000, 0.0000)  4 Se 2.33, 2 Ca 2.60
Ca (0.0000, 0.0000, 0.5000)  2 Ru 2.60
Os (0.5000, 0.5000, 0.5000)  4 Ca 3.30, 8 Se 3.49
Se (0.0000, 0.5000, 0.0000)  2 Ru 2.33
Se (0.5000, 0.0000, 0.0000)  2 Ru 2.33

Results
* uncorrected formation energy: 977 meV per atom
* E: -30.328 eV per atom

***

Which of these has the lowest E?
CaOsRuSe2

***

Number 3 is which compound?
CaOsRuSe2

***

E of number 1 (Cs2KHI)?
-25.141 eV per atom